# GdAgBi, optimized geometry, DFT PBE-GGA
data_GdAgBi
_space_group_name_H-M_alt 'P 1'
_space_group_IT_number 1
_space_group_name_Hall 'P 1'
_cell_length_a 4.2074
_cell_length_b 4.7168
_cell_length_c 4.7168
_cell_angle_alpha 120.00
_cell_angle_beta 90.00
_cell_angle_gamma 90.00
loop_
_atom_site_label
_atom_site_type_symbol
_atom_site_fract_x
_atom_site_fract_y
_atom_site_fract_z
_atom_site_occupancy
Gd1 Gd 0.6406 0.6667 0.3333 1
Bi1 Bi 0.0793 0.0000 0.0000 1
Ag1 Ag 0.2801 0.3333 0.6667 1
# Space group   P3m1 (156)
# DOS at the Fermi energy   3.449 states/eV/cell
# Spin magnetization   7.187 μB per cell
# Formation enthalpy at 0 K   -0.4121 eV/atom